An optimized crystal structure of Rb2VClF6. Source: Alexandria, functional GGA+U.

Cell lengths 6.7735, 6.7735, 9.5716 Å; angles 90.00, 90.00, 90.00 degrees
Closest atoms and distances in Å follow each position.
Space group I4/mmm (No. 139)
Symmetry-distinct sites (fractional):
Rb (0.0000, 0.5000, 0.2500) [4 per cell]  12 F 3.43
V (0.0000, 0.0000, 0.0000) [2 per cell]  6 F 1.83
Cl (0.0000, 0.0000, 0.5000) [2 per cell]  6 F 2.96
F (0.0000, 0.0000, 0.1913) [4 per cell]  1 V 1.83
F (0.1911, 0.1911, 0.0000) [8 per cell]  1 V 1.83

Energy = -4.638 eV per atom
Crystal system = tetragonal